No. 1
First-principles (PBE) data for crystalline Be2AlTc at its relaxed geometry, as listed in Alexandria.

```
Be2AlTc
1.0
3.727 0.000 0.000
0.000 3.729 0.000
0.000 0.000 3.255
Be Tc Al
2 1 1
direct
0.000 0.000 0.000
0.500 0.500 0.000
0.500 0.000 0.500
0.000 0.500 0.500
```

Summary:
The magnetic moment comes out at 0.000 μB/atom. Its energy of formation from the pure elements is -82 kJ/mol of formula units.

***

No. 2
First-principles (PBE) data for crystalline Ti4NbC5 at its relaxed geometry, as listed in Alexandria.

```
Ti4NbC5
1.0
4.380 0.000 0.000
2.190 4.887 0.000
2.190 0.000 4.887
Ti Nb C
4 1 5
direct
0.402 0.400 0.798
0.802 0.798 0.600
0.200 0.202 0.400
0.600 0.600 0.202
0.001 0.000 0.000
0.900 0.404 0.797
0.304 0.797 0.596
0.698 0.203 0.404
0.102 0.596 0.203
0.501 0.000 0.000
```

Summary:
The magnetic moment comes out at 0.000 μB/atom. Its energy of formation from the pure elements is -740 kJ/mol of formula units.

***

No. 3
First-principles (PBE) data for crystalline Ba6Tl3Au at its relaxed geometry, as listed in Alexandria.

```
Ba6Tl3Au
1.0
-4.227 -1.674 -7.222
-1.249 -8.992 2.815
-10.955 2.694 3.742
Ba Tl Au
12 6 2
direct
0.677 0.162 0.937
0.648 0.191 0.573
0.673 0.444 0.246
0.327 0.556 0.754
0.352 0.809 0.427
0.323 0.838 0.063
0.177 0.338 0.437
0.148 0.309 0.073
0.173 0.056 0.746
0.827 0.944 0.254
0.852 0.691 0.927
0.823 0.662 0.563
0.555 0.881 0.757
0.500 0.500 0.000
0.445 0.119 0.243
0.055 0.619 0.257
0.000 0.000 0.500
0.945 0.381 0.743
0.500 0.500 0.500
0.000 0.000 0.000
```

Summary:
The magnetic moment comes out at 0.000 μB/atom. Its energy of formation from the pure elements is -314 kJ/mol of formula units.

***

No. 4
First-principles (PBE) data for crystalline Y3HgC at its relaxed geometry, as listed in Alexandria.

```
Y3HgC
1.0
-0.471 -3.856 3.562
5.233 -0.629 0.011
3.296 5.520 10.313
Y C Hg
6 2 2
direct
0.111 0.874 0.252
0.126 0.889 0.748
0.126 0.363 0.748
0.637 0.874 0.252
0.305 0.305 0.390
0.695 0.695 0.610
0.647 0.147 0.706
0.853 0.353 0.294
0.000 0.000 0.000
0.250 0.750 0.500
```

Summary:
The calculation puts the energy above the most stable polymorph in this dataset at 1.493 eV per atom. The magnetic moment comes out at 0.000 μB/atom. Its energy of formation from the pure elements is 513 kJ/mol of formula units.

***

No. 5
First-principles (PBE) data for crystalline Er8GeAs3Se3 at its relaxed geometry, as listed in Alexandria.

```
Er8GeAs3Se3
1.0
8.090 0.000 0.000
-4.045 7.006 -0.024
0.000 -4.648 6.662
Er Ge As Se
8 1 3 3
direct
0.246 0.491 0.237
0.754 0.509 0.763
0.754 0.508 0.249
0.246 0.492 0.751
0.754 0.995 0.249
0.246 0.005 0.751
0.241 0.995 0.249
0.759 0.005 0.751
0.000 0.000 0.500
0.000 0.000 0.000
0.000 0.500 0.000
0.500 0.500 0.000
0.500 0.000 0.500
0.500 0.500 0.500
0.000 0.500 0.500
```

Summary:
As for the uncorrected formation energy: -138.59 kJ per mole of atoms. The magnetic moment comes out at 0.000 μB/atom.

***

No. 6
First-principles (PBE) data for crystalline PuMnP at its relaxed geometry, as listed in Alexandria.

```
PuMnP
1.0
3.608 0.000 -0.941
-0.245 3.600 -0.941
0.090 0.096 7.733
Pu Mn P
2 2 2
direct
0.676 0.676 0.352
0.324 0.324 0.648
0.500 0.000 0.000
0.000 0.500 0.000
0.104 0.104 0.207
0.896 0.896 0.793
```

Summary:
The magnetic moment comes out at 2.496 μB/atom. Its energy of formation from the pure elements is -182 kJ/mol of formula units.